# MnVCoF6

A relaxed MnVCoF6 crystal (PBE+U, Alexandria via LeMat-Bulk).

POSCAR file:
```
MnVCoF6
1.0
-1.730 4.354 2.627
-3.005 -4.452 -0.091
4.179 -2.979 7.689
Mn V Co F
2 2 2 12
Direct
0.000 0.000 0.000
0.000 0.000 0.500
0.333 0.667 0.250
0.667 0.333 0.750
0.667 0.333 0.250
0.333 0.667 0.750
0.668 0.660 0.131
0.992 0.332 0.131
0.332 0.992 0.631
0.008 0.668 0.869
0.340 0.332 0.369
0.992 0.660 0.369
0.660 0.992 0.869
0.668 0.008 0.369
0.008 0.340 0.631
0.340 0.008 0.131
0.660 0.668 0.631
0.332 0.340 0.869
```

Magnetization in μB/f.u.: 11.00
Space group: P-31c
Electronic total energy in eV/cell: -107.03
V in Å³ per cell: 231.0